(1)
{"formula": "BeSiPSe2", "functional": "GGA-PBEsol", "state": "optimized geometry", "raw_formation_energy_ev_per_atom": 0.6356, "magnetic_moment_mub_per_atom": 0.0000, "lattice": [[-3.0546, 1.3687, -2.5775], [-3.1097, -1.1498, 3.0747], [0.2946, 4.1204, 1.8389]], "species": ["P", "Se", "Se", "Si", "Be"], "fractional_positions": [[0.5000, 0.5000, 0.5000], [0.0000, 0.5000, 0.0000], [0.0000, 0.0000, 0.5000], [0.5000, 0.0000, 0.0000], [0.0000, 0.0000, 0.0000]]}



(2)
{"formula": "RbZr3Mn", "functional": "GGA-PBEsol", "state": "optimized geometry", "magnetic_moment_mub_per_atom": 0.6402, "formation_energy_ev_per_atom": 2.174, "lattice": [[4.9271, 0.0000, 0.0000], [0.0000, 4.9271, 0.0000], [0.0000, 0.0000, 4.9271]], "species": ["Mn", "Zr", "Zr", "Zr", "Rb"], "fractional_positions": [[0.5000, 0.5000, 0.5000], [0.0000, 0.0000, 0.5000], [0.0000, 0.5000, 0.0000], [0.5000, 0.0000, 0.0000], [0.0000, 0.0000, 0.0000]]}



(3)
{"formula": "ScP2Pt", "functional": "GGA-PBEsol", "state": "optimized geometry", "magnetic_moment_mub_per_atom": 0.0000, "de_polymorph_ev_per_atom": 0.000, "formation_energy_ev_per_atom": -0.792, "lattice": [[-2.1963, -0.8845, 2.5504], [1.1959, -3.2665, -0.1031], [3.6421, 1.2210, 3.5598]], "species": ["Pt", "Sc", "P", "P"], "fractional_positions": [[0.0000, 0.0000, 0.4300], [0.5000, 0.5000, 0.8103], [0.0000, 0.0000, 0.9447], [0.5000, 0.5000, 0.3149]]}



(4)
{"formula": "NdDyZn2", "functional": "GGA-PBEsol", "state": "optimized geometry", "magnetic_moment_mub_per_atom": 0.0002, "formation_energy_ev_per_atom": -0.314, "lattice": [[5.0267, 0.0000, 0.0000], [2.5134, 4.3533, 0.0000], [2.5134, 1.4511, 4.1043]], "species": ["Zn", "Zn", "Nd", "Dy"], "fractional_positions": [[0.7500, 0.7500, 0.7500], [0.2500, 0.2500, 0.2500], [0.0000, 0.0000, 0.0000], [0.5000, 0.5000, 0.5000]]}



(5)
{"formula": "Hg2SeO5", "functional": "GGA-PBEsol", "state": "optimized geometry", "raw_formation_energy_ev_per_atom": -0.4764, "magnetic_moment_mub_per_atom": 0.0000, "lattice": [[-2.4338, -2.2132, -6.3837], [-3.6068, -7.9454, 4.1297], [-10.3163, 10.8027, 0.1879]], "species": ["O", "O", "O", "O", "O", "O", "O", "O", "O", "O", "O", "O", "O", "O", "O", "O", "O", "O", "O", "O", "O", "O", "O", "O", "O", "O", "O", "O", "O", "O", "O", "O", "O", "O", "O", "O", "O", "O", "O", "O", "Hg", "Hg", "Hg", "Hg", "Hg", "Hg", "Hg", "Hg", "Hg", "Hg", "Hg", "Hg", "Hg", "Hg", "Hg", "Hg", "Se", "Se", "Se", "Se", "Se", "Se", "Se", "Se"], "fractional_positions": [[0.4079, 0.7892, 0.0419], [0.4555, 0.6303, 0.6729], [0.7734, 0.4977, 0.0468], [0.6287, 0.2443, 0.6667], [0.2341, 0.9423, 0.7115], [0.3694, 0.4443, 0.1540], [0.5921, 0.2108, 0.9581], [0.6812, 0.9715, 0.4405], [0.6044, 0.7705, 0.5564], [0.8956, 0.7705, 0.0564], [0.7341, 0.0577, 0.7885], [0.1306, 0.4443, 0.6540], [0.1854, 0.2664, 0.2994], [0.6306, 0.5557, 0.8460], [0.9555, 0.3697, 0.8271], [0.2734, 0.5023, 0.4532], [0.2266, 0.5023, 0.9532], [0.3956, 0.2295, 0.4436], [0.1812, 0.0285, 0.0595], [0.1044, 0.2295, 0.9436], [0.9079, 0.2108, 0.4581], [0.7659, 0.0577, 0.2885], [0.5339, 0.0688, 0.1245], [0.9661, 0.0688, 0.6245], [0.4661, 0.9312, 0.8755], [0.7266, 0.4977, 0.5468], [0.8713, 0.2443, 0.1667], [0.2659, 0.9423, 0.2115], [0.3188, 0.0285, 0.5595], [0.1287, 0.7557, 0.8333], [0.8188, 0.9715, 0.9405], [0.8146, 0.7336, 0.7006], [0.0339, 0.9312, 0.3755], [0.0921, 0.7892, 0.5419], [0.6854, 0.7336, 0.2006], [0.3713, 0.7557, 0.3333], [0.5445, 0.3697, 0.3271], [0.3146, 0.2664, 0.7994], [0.0445, 0.6303, 0.1729], [0.8694, 0.5557, 0.3460], [0.1202, 0.6648, 0.3530], [0.8798, 0.3352, 0.6470], [0.6351, 0.0064, 0.6221], [0.3649, 0.9936, 0.3779], [0.3688, 0.6359, 0.1164], [0.1351, 0.9936, 0.8779], [0.8818, 0.6640, 0.8557], [0.6202, 0.3352, 0.1470], [0.8688, 0.3641, 0.3836], [0.1312, 0.6359, 0.6164], [0.6312, 0.3641, 0.8836], [0.3798, 0.6648, 0.8530], [0.1182, 0.3360, 0.1443], [0.8649, 0.0064, 0.1221], [0.6182, 0.6640, 0.3557], [0.3818, 0.3360, 0.6443], [0.3478, 0.9628, 0.1131], [0.6510, 0.6576, 0.6206], [0.8490, 0.6576, 0.1206], [0.8478, 0.0372, 0.3869], [0.1522, 0.9628, 0.6131], [0.6522, 0.0372, 0.8869], [0.3490, 0.3424, 0.3794], [0.1510, 0.3424, 0.8794]]}



(6)
{"formula": "Ca5Sb", "functional": "GGA-PBEsol", "state": "optimized geometry", "raw_formation_energy_ev_per_atom": 0.2148, "magnetic_moment_mub_per_atom": 0.0001, "lattice": [[-4.8903, -3.5180, -1.3398], [1.8579, -0.1457, -6.3990], [2.2027, -4.6678, 4.2167]], "species": ["Ca", "Ca", "Ca", "Ca", "Ca", "Sb"], "fractional_positions": [[0.5000, 0.0000, 0.5000], [0.5000, 0.5000, 0.0000], [0.0000, 0.6667, 0.3333], [0.0000, 0.3333, 0.6667], [0.5000, 0.5000, 0.5000], [0.0000, 0.0000, 0.0000]]}